(1)
# K2CoBr PBEsol relaxed
data_K2CoBr
_cell_length_a 7.878
_cell_length_b 7.878
_cell_length_c 7.878
_cell_angle_alpha 90.00
_cell_angle_beta 90.00
_cell_angle_gamma 90.00
_space_group_name_H-M_alt 'F -4 3 m'
_space_group_IT_number 216
_space_group_name_Hall 'F -4 2 3'
loop_
_atom_site_label
_atom_site_type_symbol
_atom_site_fract_x
_atom_site_fract_y
_atom_site_fract_z
_atom_site_occupancy
K1 K 0.000 0.000 0.000 1
K2 K 0.250 0.250 0.250 1
Co1 Co 0.000 0.000 0.500 1
Br1 Br 0.250 0.250 0.750 1
# Electronic total energy   -10.390 eV/f.u.

---

(2)
# K2CoBr PBEsol relaxed
data_K2CoBr
_cell_length_a 4.682
_cell_length_b 4.682
_cell_length_c 6.718
_cell_angle_alpha 90.00
_cell_angle_beta 90.00
_cell_angle_gamma 90.00
_space_group_name_H-M_alt 'P 4 m m'
_space_group_IT_number 99
loop_
_space_group_symop_operation_xyz
'x,y,z'
'-y,x,z'
'-x,-y,z'
'y,-x,z'
'-x,y,z'
'y,x,z'
'x,-y,z'
'-y,-x,z'
loop_
_atom_site_label
_atom_site_type_symbol
_atom_site_fract_x
_atom_site_fract_y
_atom_site_fract_z
_atom_site_occupancy
K1 K 0.000 0.000 0.000 1
K2 K 0.500 0.500 0.499 1
Co1 Co 0.500 0.500 0.998 1
Br1 Br 0.000 0.000 0.500 1
# Electronic total energy   -11.339 eV/f.u.

---

(3)
# K2CoRhBr PBEsol relaxed
data_K2CoRhBr
_cell_length_a 6.169
_cell_length_b 6.169
_cell_length_c 4.571
_cell_angle_alpha 90.00
_cell_angle_beta 90.00
_cell_angle_gamma 90.00
_space_group_name_H-M_alt 'P 4/m m m'
_space_group_IT_number 123
_space_group_name_Hall '-P 4 2'
loop_
_atom_site_label
_atom_site_type_symbol
_atom_site_fract_x
_atom_site_fract_y
_atom_site_fract_z
_atom_site_occupancy
K1 K 0.000 0.500 0.000 1
Co1 Co 0.000 0.000 0.500 1
Rh1 Rh 0.500 0.500 0.000 1
Br1 Br 0.500 0.500 0.500 1
# Electronic total energy   -16.126 eV/f.u.

---

(4)
# LaCo2Br PBEsol relaxed
data_LaCo2Br
_cell_length_a 3.843
_cell_length_b 3.843
_cell_length_c 5.947
_cell_angle_alpha 90.00
_cell_angle_beta 90.00
_cell_angle_gamma 90.00
_space_group_name_H-M_alt 'P 4/m m m'
_space_group_IT_number 123
_space_group_name_Hall '-P 4 2'
loop_
_atom_site_label
_atom_site_type_symbol
_atom_site_fract_x
_atom_site_fract_y
_atom_site_fract_z
_atom_site_occupancy
La1 La 0.000 0.000 0.000 1
Co1 Co 0.500 0.500 0.176 1
Br1 Br 0.000 0.000 0.500 1
# Electronic total energy   -21.823 eV/f.u.

---

(5)
# La2CoBr PBEsol relaxed
data_La2CoBr
_cell_length_a 3.9774
_cell_length_b 3.9774
_cell_length_c 23.2524
_cell_angle_alpha 90.00
_cell_angle_beta 90.00
_cell_angle_gamma 120.00
_space_group_name_H-M_alt 'R -3 m'
_space_group_IT_number 166
_space_group_name_Hall '-R 3 2"'
loop_
_atom_site_label
_atom_site_type_symbol
_atom_site_fract_x
_atom_site_fract_y
_atom_site_fract_z
_atom_site_occupancy
La1 La 0.0000 0.0000 0.2314 1
Co1 Co 0.0000 0.0000 0.5000 1
Br1 Br 0.0000 0.0000 0.0000 1
# Electronic total energy   -23.540 eV/f.u.

---

(6)
# LaCo2Br PBEsol relaxed
data_LaCo2Br
_cell_length_a 3.346
_cell_length_b 3.346
_cell_length_c 7.090
_cell_angle_alpha 90.00
_cell_angle_beta 90.00
_cell_angle_gamma 90.00
_space_group_name_H-M_alt 'P 4 m m'
_space_group_IT_number 99
loop_
_space_group_symop_operation_xyz
'x,y,z'
'-y,x,z'
'-x,-y,z'
'y,-x,z'
'-x,y,z'
'y,x,z'
'x,-y,z'
'-y,-x,z'
loop_
_atom_site_label
_atom_site_type_symbol
_atom_site_fract_x
_atom_site_fract_y
_atom_site_fract_z
_atom_site_occupancy
La1 La 0.000 0.000 0.000 1
Co1 Co 0.000 0.000 0.644 1
Co2 Co 0.500 0.500 0.697 1
Br1 Br 0.500 0.500 0.275 1
# Electronic total energy   -22.931 eV/f.u.